Below is crystalline Mg2TiFeI at its relaxed geometry, with properties calculated at the PBE-GGA level.

It has space group P4/mmm (No. 123), with a = 5.4461 Å, b = 5.4461 Å, c = 4.6698 Å, α = 90.00°, β = 90.00° and γ = 90.00°. Symmetry generates all atoms from Mg at (0.0000, 0.5000, 0.0000), Ti at (0.0000, 0.0000, 0.5000), Fe at (0.5000, 0.5000, 0.5000) and I at (0.5000, 0.5000, 0.0000).

As for the total energy: -14.7 eV per cell. As for the formation energy from raw total energies: 1.2869 eV per atom.